Record 1
First-principles (PBEsol) data for Rb2MnFeC6N6 after structural relaxation, as listed in Alexandria.

Unit cell a=6.993 b=6.993 c=6.993 alpha=60.00 beta=60.00 gamma=60.00
Element x y z (fractional)
Rb 0.750 0.750 0.750
Mn 0.500 0.500 0.500
C 0.812 0.812 0.188
Rb 0.250 0.250 0.250
N 0.693 0.307 0.693
C 0.188 0.188 0.812
C 0.188 0.812 0.812
C 0.812 0.188 0.188
N 0.693 0.693 0.307
C 0.812 0.188 0.812
N 0.307 0.693 0.307
N 0.307 0.307 0.693
C 0.188 0.812 0.188
N 0.307 0.693 0.693
N 0.693 0.307 0.307
Fe 0.000 0.000 0.000

Summary:
For the formation energy without anion corrections, the calculation gives -152 meV per atom. As for the space-group type: Fm-3m, No. 225. The crystal system is cubic.


Record 2
First-principles (PBEsol) data for Nd2AgIr after structural relaxation, as listed in Alexandria.

Unit cell a=5.046 b=5.046 c=5.046 alpha=60.00 beta=60.00 gamma=60.00
Element x y z (fractional)
Ag 0.000 0.000 0.000
Nd 0.250 0.250 0.250
Ir 0.500 0.500 0.500
Nd 0.750 0.750 0.750

Summary:
The value obtained for the energy relative to the elements is -0.415 eV/atom. As for the space-group type: Fm-3m, No. 225. The crystal system is cubic.


Record 3
First-principles (PBEsol) data for KSrHg2 after structural relaxation, as listed in Alexandria.

Unit cell a=4.033 b=4.035 c=8.550 alpha=90.00 beta=90.00 gamma=90.00
Element x y z (fractional)
Hg 0.000 0.000 0.024
Sr 0.500 0.500 0.835
Hg 0.500 0.500 0.209
K 0.000 0.000 0.432

Summary:
The value obtained for the energy relative to the elements is -0.259 eV/atom. As for the space-group type: P4mm, No. 99. The crystal system is tetragonal.


Record 4
First-principles (PBEsol) data for HfSb2SCl after structural relaxation, as listed in Alexandria.

Unit cell a=4.581 b=5.083 c=5.083 alpha=90.00 beta=90.00 gamma=90.00
Element x y z (fractional)
S 0.500 0.000 0.000
Cl 0.000 0.000 0.000
Sb 0.000 0.500 0.000
Sb 0.000 0.000 0.500
Hf 0.500 0.500 0.500

Summary:
For the formation energy without anion corrections, the calculation gives 691 meV per atom. As for the space-group type: P4/mmm, No. 123. The crystal system is tetragonal.


Record 5
First-principles (PBEsol) data for BaDy2NiO5 after structural relaxation, as listed in Alexandria.

Unit cell a=3.717 b=5.710 c=6.575 alpha=115.74 beta=106.42 gamma=90.00
Element x y z (fractional)
O 0.351 0.590 0.702
O 0.649 0.888 0.298
O 0.000 0.500 0.000
Dy 0.798 0.298 0.596
Ni 0.500 0.500 0.000
Ba 0.000 0.000 0.000
O 0.351 0.112 0.702
Dy 0.202 0.702 0.404
O 0.649 0.410 0.298

Summary:
For the formation energy without anion corrections, the calculation gives -2744 meV per atom. As for the space-group type: Immm, No. 71. The crystal system is orthorhombic.


Record 6
First-principles (PBEsol) data for CaBeZn2 after structural relaxation, as listed in Alexandria.

Unit cell a=3.184 b=3.990 c=5.665 alpha=90.00 beta=103.60 gamma=90.00
Element x y z (fractional)
Zn 0.652 0.000 0.813
Be 0.500 0.500 0.000
Zn 0.348 0.000 0.187
Ca 0.000 0.500 0.500

Summary:
The value obtained for the energy relative to the elements is 0.107 eV/atom. As for the space-group type: P2/m, No. 10. The crystal system is monoclinic.


Record 7
First-principles (PBEsol) data for AsIrRh2 after structural relaxation, as listed in Alexandria.

Unit cell a=3.924 b=3.924 c=4.573 alpha=115.41 beta=115.41 gamma=90.00
Element x y z (fractional)
Rh 0.750 0.250 0.500
As 0.500 0.500 0.000
Rh 0.000 0.000 0.000
Ir 0.250 0.750 0.500

Summary:
The value obtained for the energy relative to the elements is 0.059 eV/atom. As for the space-group type: I-4m2, No. 119. The crystal system is tetragonal.


Record 8
First-principles (PBEsol) data for NaNb2TePd after structural relaxation, as listed in Alexandria.

Unit cell a=4.382 b=4.794 c=4.794 alpha=90.00 beta=90.00 gamma=90.00
Element x y z (fractional)
Te 0.500 0.500 0.500
Na 0.000 0.000 0.000
Nb 0.000 0.500 0.000
Nb 0.000 0.000 0.500
Pd 0.500 0.000 0.000

Summary:
For the formation energy without anion corrections, the calculation gives 1636 meV per atom. As for the space-group type: P4/mmm, No. 123. The crystal system is tetragonal.


Record 9
First-principles (PBEsol) data for Ta5Re after structural relaxation, as listed in Alexandria.

Unit cell a=3.216 b=3.216 c=9.862 alpha=90.00 beta=90.00 gamma=90.00
Element x y z (fractional)
Ta 0.000 0.000 0.158
Ta 0.500 0.500 0.332
Re 0.500 0.500 0.000
Ta 0.000 0.000 0.500
Ta 0.500 0.500 0.668
Ta 0.000 0.000 0.842

Summary:
The value obtained for the energy relative to the elements is -0.165 eV/atom. As for the space-group type: P4/mmm, No. 123. The crystal system is tetragonal. For the offset from the most stable computed form, the calculation gives 0 kJ/mol of formula units.


Record 10
First-principles (PBEsol) data for SbMoPbW2 after structural relaxation, as listed in Alexandria.

Unit cell a=4.763 b=4.763 c=5.191 alpha=90.00 beta=90.00 gamma=90.00
Element x y z (fractional)
Sb 0.500 0.500 0.500
Mo 0.000 0.000 0.000
W 0.000 0.500 0.000
Pb 0.000 0.000 0.500
W 0.500 0.000 0.000

Summary:
For the formation energy without anion corrections, the calculation gives 1799 meV per atom. As for the space-group type: P4/mmm, No. 123. The crystal system is tetragonal.


Record 11
First-principles (PBEsol) data for GaBSb2Te after structural relaxation, as listed in Alexandria.

Unit cell a=4.721 b=4.721 c=5.067 alpha=90.00 beta=90.00 gamma=90.00
Element x y z (fractional)
B 0.000 0.000 0.000
Sb 0.500 0.000 0.000
Te 0.000 0.000 0.500
Ga 0.500 0.500 0.500
Sb 0.000 0.500 0.000

Summary:
For the formation energy without anion corrections, the calculation gives 631 meV per atom. As for the space-group type: P4/mmm, No. 123. The crystal system is tetragonal.


Record 12
First-principles (PBEsol) data for Nd3Dy after structural relaxation, as listed in Alexandria.

Unit cell a=5.042 b=5.042 c=5.042 alpha=90.00 beta=90.00 gamma=90.00
Element x y z (fractional)
Nd 0.000 0.500 0.500
Nd 0.500 0.000 0.500
Dy 0.000 0.000 0.000
Nd 0.500 0.500 0.000

Summary:
The value obtained for the energy relative to the elements is 0.008 eV/atom. As for the space-group type: Pm-3m, No. 221. The crystal system is cubic. For the offset from the most stable computed form, the calculation gives 0 kJ/mol of formula units.


Record 13
First-principles (PBEsol) data for BaWSe2 after structural relaxation, as listed in Alexandria.

Unit cell a=4.254 b=4.254 c=6.368 alpha=109.51 beta=109.51 gamma=90.00
Element x y z (fractional)
Se 0.750 0.250 0.500
Ba 0.250 0.750 0.500
W 0.500 0.500 0.000
Se 0.000 0.000 0.000

Summary:
For the formation energy without anion corrections, the calculation gives 415 meV per atom. As for the space-group type: I-4m2, No. 119. The crystal system is tetragonal.


Record 14
First-principles (PBEsol) data for Ba6Bi2Te3O18 after structural relaxation, as listed in Alexandria.

Unit cell a=5.990 b=8.511 c=10.411 alpha=114.12 beta=106.72 gamma=90.00
Element x y z (fractional)
O 0.487 0.756 0.512
O 0.366 0.093 0.186
O 0.309 0.578 0.155
Ba 0.500 0.777 0.000
Ba 0.153 0.386 0.306
O 0.668 0.936 0.335
O 0.154 0.422 0.845
Te 0.668 0.168 0.335
Ba 0.847 0.614 0.694
O 0.000 0.276 0.000
O 0.975 0.244 0.488
O 0.000 0.724 0.000
Bi 0.333 0.333 0.667
O 0.025 0.756 0.512
O 0.634 0.907 0.814
O 0.691 0.422 0.845
Ba 0.500 0.223 0.000
Ba 0.153 0.920 0.306
O 0.668 0.399 0.335
Te 0.332 0.832 0.665
O 0.332 0.064 0.665
O 0.180 0.907 0.814
Ba 0.847 0.080 0.694
O 0.513 0.244 0.488
O 0.820 0.093 0.186
O 0.846 0.578 0.155
O 0.332 0.601 0.665
Bi 0.667 0.667 0.333
Te 0.000 0.500 0.000

Summary:
For the formation energy without anion corrections, the calculation gives -1993 meV per atom. As for the space-group type: Immm, No. 71. The crystal system is orthorhombic.


Record 15
First-principles (PBEsol) data for AsPdPb3 after structural relaxation, as listed in Alexandria.

Unit cell a=5.225 b=5.225 c=5.225 alpha=90.00 beta=90.00 gamma=90.00
Element x y z (fractional)
Pb 0.000 0.000 0.500
Pd 0.000 0.000 0.000
Pb 0.000 0.500 0.000
As 0.500 0.500 0.500
Pb 0.500 0.000 0.000

Summary:
The value obtained for the energy relative to the elements is 0.245 eV/atom. As for the space-group type: Pm-3m, No. 221. The crystal system is cubic.


Record 16
First-principles (PBEsol) data for ScCuI3 after structural relaxation, as listed in Alexandria.

Unit cell a=5.605 b=5.605 c=5.605 alpha=90.00 beta=90.00 gamma=90.00
Element x y z (fractional)
I 0.500 0.000 0.000
I 0.000 0.500 0.000
I 0.000 0.000 0.500
Sc 0.000 0.000 0.000
Cu 0.500 0.500 0.500

Summary:
For the formation energy without anion corrections, the calculation gives -147 meV per atom. As for the space-group type: Pm-3m, No. 221. The crystal system is cubic.


Record 17
First-principles (PBEsol) data for Mg3MnF after structural relaxation, as listed in Alexandria.

Unit cell a=4.356 b=4.356 c=4.356 alpha=90.00 beta=90.00 gamma=90.00
Element x y z (fractional)
Mg 0.000 0.500 0.000
Mg 0.000 0.000 0.500
F 0.000 0.000 0.000
Mg 0.500 0.000 0.000
Mn 0.500 0.500 0.500

Summary:
For the formation energy without anion corrections, the calculation gives -541 meV per atom. As for the space-group type: Pm-3m, No. 221. The crystal system is cubic.


Record 18
First-principles (PBEsol) data for ScTc2 after structural relaxation, as listed in Alexandria.

Unit cell a=3.073 b=3.073 c=5.406 alpha=106.51 beta=106.51 gamma=90.00
Element x y z (fractional)
Tc 0.678 0.678 0.356
Sc 0.000 0.000 0.000
Tc 0.322 0.322 0.644

Summary:
The value obtained for the energy relative to the elements is -0.197 eV/atom. As for the space-group type: I4/mmm, No. 139. The crystal system is tetragonal. For the offset from the most stable computed form, the calculation gives 23 kJ/mol of formula units.


Record 19
First-principles (PBEsol) data for BaSi2W after structural relaxation, as listed in Alexandria.

Unit cell a=2.898 b=5.292 c=5.292 alpha=92.84 beta=99.99 gamma=99.99
Element x y z (fractional)
W 0.500 0.000 0.000
Ba 0.500 0.500 0.500
Si 0.000 0.500 0.000
Si 0.000 0.000 0.500

Summary:
For the formation energy without anion corrections, the calculation gives 796 meV per atom. As for the space-group type: C2/m, No. 12. The crystal system is monoclinic. For the offset from the most stable computed form, the calculation gives 255 kJ/mol of formula units.


Record 20
First-principles (PBEsol) data for Sn4P3 after structural relaxation, as listed in Alexandria.

Unit cell a=3.948 b=3.948 c=11.877 alpha=80.43 beta=80.43 gamma=60.00
Element x y z (fractional)
P 0.572 0.572 0.285
Sn 0.289 0.289 0.133
Sn 0.711 0.711 0.867
Sn 0.134 0.134 0.598
P 0.000 0.000 0.000
P 0.428 0.428 0.715
Sn 0.866 0.866 0.402

Summary:
The value obtained for the energy relative to the elements is -0.056 eV/atom. As for the space-group type: R-3m, No. 166. The crystal system is trigonal.


Record 21
First-principles (PBEsol) data for CdGaHg3 after structural relaxation, as listed in Alexandria.

Unit cell a=5.340 b=5.340 c=5.340 alpha=90.00 beta=90.00 gamma=90.00
Element x y z (fractional)
Cd 0.000 0.000 0.000
Hg 0.500 0.000 0.000
Hg 0.000 0.000 0.500
Ga 0.500 0.500 0.500
Hg 0.000 0.500 0.000

Summary:
The value obtained for the energy relative to the elements is 0.398 eV/atom. As for the space-group type: Pm-3m, No. 221. The crystal system is cubic.


Record 22
First-principles (PBEsol) data for BaFeRu3 after structural relaxation, as listed in Alexandria.

Unit cell a=4.826 b=4.826 c=4.826 alpha=90.00 beta=90.00 gamma=90.00
Element x y z (fractional)
Ru 0.000 0.500 0.000
Ba 0.000 0.000 0.000
Fe 0.500 0.500 0.500
Ru 0.500 0.000 0.000
Ru 0.000 0.000 0.500

Summary:
The value obtained for the energy relative to the elements is 3.118 eV/atom. As for the space-group type: Pm-3m, No. 221. The crystal system is cubic.


Record 23
First-principles (PBEsol) data for Nb2HW after structural relaxation, as listed in Alexandria.

Unit cell a=4.391 b=4.391 c=4.391 alpha=60.00 beta=60.00 gamma=60.00
Element x y z (fractional)
H 0.000 0.000 0.000
Nb 0.250 0.250 0.250
W 0.500 0.500 0.500
Nb 0.750 0.750 0.750

Summary:
As for the space-group type: Fm-3m, No. 225. The crystal system is cubic. Its total energy is -8.951 eV/atom.


Record 24
First-principles (PBEsol) data for ScTeCl4 after structural relaxation, as listed in Alexandria.

Unit cell a=5.648 b=5.648 c=5.648 alpha=60.00 beta=60.00 gamma=60.00
Element x y z (fractional)
Cl 0.376 0.376 0.376
Cl 0.376 0.873 0.376
Cl 0.376 0.376 0.873
Sc 0.750 0.750 0.750
Cl 0.873 0.376 0.376
Te 0.000 0.000 0.000

Summary:
For the formation energy without anion corrections, the calculation gives 1 meV per atom. As for the space-group type: F-43m, No. 216. The crystal system is cubic.


Record 25
First-principles (PBEsol) data for Si3GeN after structural relaxation, as listed in Alexandria.

Unit cell a=4.651 b=4.651 c=4.651 alpha=90.00 beta=90.00 gamma=90.00
Element x y z (fractional)
Si 0.000 0.000 0.500
Ge 0.000 0.000 0.000
N 0.500 0.500 0.500
Si 0.500 0.000 0.000
Si 0.000 0.500 0.000

Summary:
For the formation energy without anion corrections, the calculation gives 2018 meV per atom. As for the space-group type: Pm-3m, No. 221. The crystal system is cubic.


Record 26
First-principles (PBEsol) data for Sc2AlCo after structural relaxation, as listed in Alexandria.

Unit cell a=3.267 b=4.525 c=4.525 alpha=90.00 beta=90.00 gamma=90.00
Element x y z (fractional)
Co 0.500 0.000 0.000
Al 0.500 0.500 0.500
Sc 0.000 0.000 0.500
Sc 0.000 0.500 0.000

Summary:
The value obtained for the energy relative to the elements is -0.342 eV/atom. As for the space-group type: P4/mmm, No. 123. The crystal system is tetragonal.


Record 27
First-principles (PBEsol) data for Co2PbW after structural relaxation, as listed in Alexandria.

Unit cell a=2.873 b=4.507 c=4.507 alpha=101.04 beta=90.00 gamma=90.00
Element x y z (fractional)
Pb 0.500 0.500 0.500
Co 0.000 0.500 0.000
W 0.500 0.000 0.000
Co 0.000 0.000 0.500

Summary:
The value obtained for the energy relative to the elements is 0.593 eV/atom. As for the space-group type: Cmmm, No. 65. The crystal system is orthorhombic.